# TlCr3O8

TlCr3O8 after structural relaxation (GGA+U, the Alexandria database).

```
TlCr3O8
1.0
4.458 -2.768 0.000
4.458 2.768 0.000
-0.578 0.000 7.971
Tl Cr O
1 3 8
Direct
0.000 0.000 0.000 Tl
0.000 0.000 0.500 Cr
0.368 0.368 0.701 Cr
0.632 0.632 0.299 Cr
0.219 0.219 0.564 O
0.222 0.723 0.676 O
0.277 0.778 0.324 O
0.318 0.318 0.893 O
0.682 0.682 0.107 O
0.723 0.222 0.676 O
0.778 0.277 0.324 O
0.781 0.781 0.436 O
```

E_tot (eV per atom): -6.72
Symmetry: No. 12
N(E_F) (states/eV per cell): 0.0